## Li2ZrPt (PBEsol)

Data for Li2ZrPt after structural relaxation.

Cell: 2.8563 4.8400 4.8088 Å, 90.00 93.12 90.00°
Space group P2/m (No. 10)
Inequivalent atoms, fractional coordinates:
Li: 0.1923 0.0000 0.2785 (multiplicity 2)
Zr: 0.5000 0.5000 0.0000 (multiplicity 1)
Pt: 0.0000 0.5000 0.5000 (multiplicity 1)

formation energy: -0.3190 eV per atom
DOS(E_F): 0.602 states/eV/atom
distance to the lowest polymorph of the same formula: 108 meV per atom
V: 66 Å³/cell


## LiZrPt (PBEsol)

Data for LiZrPt after structural relaxation.

Cell: 4.4084 4.4084 2.8613 Å, 90.00 90.00 120.00°
Space group P3m1 (No. 156)
Inequivalent atoms, fractional coordinates:
Li: 0.0000 0.0000 0.0000 (multiplicity 1)
Zr: 0.6667 0.3333 0.4352 (multiplicity 1)
Pt: 0.3333 0.6667 0.8856 (multiplicity 1)

formation energy: -0.5339 eV per atom
DOS(E_F): 0.896 states/eV/atom
distance to the lowest polymorph of the same formula: 3 meV per atom
V: 48 Å³/cell


## Li2ZrPt (PBEsol)

Data for Li2ZrPt after structural relaxation.

Cell: 6.3241 6.3241 6.3241 Å, 90.00 90.00 90.00°
Space group F-43m (No. 216)
Inequivalent atoms, fractional coordinates:
Li: 0.0000 0.0000 0.0000 (multiplicity 4)
Li: 0.2500 0.2500 0.2500 (multiplicity 4)
Zr: 0.0000 0.0000 0.5000 (multiplicity 4)
Pt: 0.2500 0.2500 0.7500 (multiplicity 4)

formation energy: -0.4270 eV per atom
DOS(E_F): 0.883 states/eV/atom
distance to the lowest polymorph of the same formula: 0 meV per atom
V: 253 Å³/cell


## LiZrPt2 (PBEsol)

Data for LiZrPt2 after structural relaxation.

Cell: 3.8557 3.8557 8.3783 Å, 90.00 90.00 90.00°
Space group I-4m2 (No. 119)
Inequivalent atoms, fractional coordinates:
Li: 0.0000 0.0000 0.0000 (multiplicity 2)
Zr: 0.0000 0.5000 0.7500 (multiplicity 2)
Pt: 0.0000 0.0000 0.5000 (multiplicity 2)
Pt: 0.0000 0.5000 0.2500 (multiplicity 2)

formation energy: -0.8356 eV per atom
DOS(E_F): 0.401 states/eV/atom
distance to the lowest polymorph of the same formula: 47 meV per atom
V: 125 Å³/cell


## LiZr2Pt (PBEsol)

Data for LiZr2Pt after structural relaxation.

Cell: 3.3162 3.3162 6.5394 Å, 90.00 90.00 90.00°
Space group P4mm (No. 99)
Inequivalent atoms, fractional coordinates:
Li: 0.0000 0.0000 0.0000 (multiplicity 1)
Zr: 0.0000 0.0000 0.4233 (multiplicity 1)
Zr: 0.5000 0.5000 0.7279 (multiplicity 1)
Pt: 0.5000 0.5000 0.1908 (multiplicity 1)

formation energy: -0.4414 eV per atom
DOS(E_F): 0.564 states/eV/atom
V: 72 Å³/cell


## LiZrPt2 (PBEsol)

Data for LiZrPt2 after structural relaxation.

Cell: 3.3419 3.3419 5.6539 Å, 90.00 90.00 90.00°
Space group P4/mmm (No. 123)
Inequivalent atoms, fractional coordinates:
Li: 0.0000 0.0000 0.0000 (multiplicity 1)
Zr: 0.0000 0.0000 0.5000 (multiplicity 1)
Pt: 0.5000 0.5000 0.2382 (multiplicity 2)

formation energy: -0.8714 eV per atom
DOS(E_F): 0.255 states/eV/atom
distance to the lowest polymorph of the same formula: 11 meV per atom
V: 63 Å³/cell


## LiZr2Pt (PBEsol)

Data for LiZr2Pt after structural relaxation.

Cell: 2.9158 2.9158 9.2114 Å, 90.00 90.00 90.00°
Space group P4/mmm (No. 123)
Inequivalent atoms, fractional coordinates:
Li: 0.0000 0.0000 0.0000 (multiplicity 1)
Zr: 0.5000 0.5000 0.2843 (multiplicity 2)
Pt: 0.0000 0.0000 0.5000 (multiplicity 1)

formation energy: -0.2827 eV per atom
DOS(E_F): 0.866 states/eV/atom
V: 78 Å³/cell


## RbLi3Re (PBEsol)

Data for RbLi3Re after structural relaxation.

Cell: 5.2143 5.2143 5.2143 Å, 90.00 90.00 90.00°
Space group Pm-3m (No. 221)
Inequivalent atoms, fractional coordinates:
Rb: 0.0000 0.0000 0.0000 (multiplicity 1)
Li: 0.0000 0.5000 0.5000 (multiplicity 3)
Re: 0.5000 0.5000 0.5000 (multiplicity 1)

formation energy: 1.2296 eV per atom
DOS(E_F): 1.953 states/eV/atom
V: 142 Å³/cell


## RbLiRe3 (PBEsol)

Data for RbLiRe3 after structural relaxation.

Cell: 4.6760 4.6760 4.6760 Å, 90.00 90.00 90.00°
Space group Pm-3m (No. 221)
Inequivalent atoms, fractional coordinates:
Rb: 0.0000 0.0000 0.0000 (multiplicity 1)
Li: 0.5000 0.5000 0.5000 (multiplicity 1)
Re: 0.0000 0.0000 0.5000 (multiplicity 3)

formation energy: 4.0319 eV per atom
DOS(E_F): 1.572 states/eV/atom
V: 102 Å³/cell


## Rb2LiRh (PBEsol)

Data for Rb2LiRh after structural relaxation.

Cell: 4.6128 4.6128 21.6838 Å, 90.00 90.00 90.00°
Space group I-42d (No. 122)
Inequivalent atoms, fractional coordinates:
Rb: 0.2446 0.2500 0.1250 (multiplicity 8)
Li: 0.0000 0.0000 0.5000 (multiplicity 4)
Rh: 0.0000 0.0000 0.0000 (multiplicity 4)

formation energy: 0.8862 eV per atom
DOS(E_F): 0.431 states/eV/atom
V: 461 Å³/cell


## RbLiTeRu2 (PBEsol)

Data for RbLiTeRu2 after structural relaxation.

Cell: 4.8680 4.8680 6.2124 Å, 90.00 90.00 90.00°
Space group P4/mmm (No. 123)
Inequivalent atoms, fractional coordinates:
Rb: 0.0000 0.0000 0.0000 (multiplicity 1)
Li: 0.5000 0.5000 0.0000 (multiplicity 1)
Te: 0.0000 0.0000 0.5000 (multiplicity 1)
Ru: 0.0000 0.5000 0.5000 (multiplicity 2)

DOS(E_F): 0.870 states/eV/atom
V: 147 Å³/cell
formation energy (no corrections): 109.8 kJ/mol of atoms


## RbLi3S (PBEsol)

Data for RbLi3S after structural relaxation.

Cell: 5.0027 5.0027 5.0027 Å, 90.00 90.00 90.00°
Space group Pm-3m (No. 221)
Inequivalent atoms, fractional coordinates:
Rb: 0.0000 0.0000 0.0000 (multiplicity 1)
Li: 0.0000 0.5000 0.5000 (multiplicity 3)
S: 0.5000 0.5000 0.5000 (multiplicity 1)

DOS(E_F): 0.074 states/eV/atom
V: 125 Å³/cell
formation energy (no corrections): -47.9 kJ/mol of atoms


Number 1: magnetic moment 0.0 Bohr magnetons per cell. Number 2: magnetic moment 0.0 Bohr magnetons per cell. Number 3: magnetic moment 0.0 Bohr magnetons per cell. Number 4: magnetic moment 0.0 Bohr magnetons per cell. Number 5: magnetic moment 0.0 Bohr magnetons per cell. Number 6: magnetic moment 0.0 Bohr magnetons per cell. Number 7: magnetic moment 0.0 Bohr magnetons per cell. Number 8: magnetic moment 2.7 Bohr magnetons per cell. Number 9: magnetic moment 1.7 Bohr magnetons per cell. Number 10: magnetic moment 0.0 Bohr magnetons per cell. Number 11: magnetic moment 1.0 Bohr magnetons per cell. Number 12: magnetic moment 0.0 Bohr magnetons per cell.